The following is a DFT calculation (GGA-PBE) of a relaxed MnW crystal.

Results
Total magnetization ... 0.480 μB/atom
Uncorrected energy ... -80.66 eV for the cell shown
Energy relative to the elements ... 978 meV/atom

Structure (CIF):
```
data_MnW
_cell_length_a 4.937
_cell_length_b 4.937
_cell_length_c 4.937
_cell_angle_alpha 90.00
_cell_angle_beta 90.00
_cell_angle_gamma 90.00
_space_group_name_H-M_alt 'F m -3 m'
_space_group_IT_number 225
_space_group_name_Hall '-F 4 2 3'
loop_
_atom_site_label
_atom_site_type_symbol
_atom_site_fract_x
_atom_site_fract_y
_atom_site_fract_z
Mn1 Mn 0.000 0.000 0.000
W1 W 0.000 0.000 0.500
```